Record 1
This record from the Alexandria database describes a relaxed structure of TiSnPO2. The functional is PBE.

Cell and atoms, written as POSCAR:
```
TiSnPO2
1.0
-3.317 -1.053 -1.625
0.097 -3.310 1.946
-2.635 2.234 3.932
Ti O P Sn
1 2 1 1
direct
0.000 0.000 0.000
0.000 0.500 0.000
0.500 0.000 0.000
0.000 0.000 0.500
0.500 0.500 0.500
```

**N(E_F)**: 0.14 states/eV/f.u.
**Energy above the lowest structure with this stoichiometry**: 0.00 eV per formula unit
**Formation energy without anion corrections**: -139.4 kJ per mole of atoms
**Raw total energy**: -0.506 Ry per atom

Record 2
This record from the Alexandria database describes a relaxed structure of TiSnP2O. The functional is PBE.

Cell and atoms, written as POSCAR:
```
TiSnP2O
1.0
-3.112 0.595 3.914
3.669 -1.436 3.135
1.150 3.703 0.351
O P Ti Sn
1 2 1 1
direct
0.000 0.000 0.500
0.000 0.500 0.000
0.500 0.000 0.000
0.500 0.500 0.500
0.000 0.000 0.000
```

**N(E_F)**: 3.93 states/eV/f.u.
**Energy above the lowest structure with this stoichiometry**: 4.89 eV per formula unit
**Formation energy without anion corrections**: 34.1 kJ per mole of atoms
**Raw total energy**: -0.381 Ry per atom

> The highest raw total energy belongs to which entry?

TiSnP2O